Record 1
Be2AsPt after structural relaxation. Source: the Alexandria database, functional PBE.

Properties
- Formation energy from the elements: -0.104 eV per atom

a = 4.192 Å, b = 4.192 Å, c = 4.349 Å
α = 87.89°, β = 87.89°, γ = 47.04°
Positions (direct):
Be  0.037  0.037  0.911
Be  0.463  0.463  0.589
As  0.250  0.250  0.250
Pt  0.750  0.750  0.750

***

Record 2
TcTePCl2 after structural relaxation. Source: the Alexandria database, functional PBE.

Properties
- Formation energy without anion corrections: 0.30 eV per atom

a = 4.713 Å, b = 4.713 Å, c = 4.827 Å
α = 90.00°, β = 90.00°, γ = 90.00°
Positions (direct):
P  0.000  0.000  0.500
Te  0.500  0.500  0.500
Tc  0.000  0.000  0.000
Cl  0.000  0.500  0.000
Cl  0.500  0.000  0.000

***

Record 3
NaMg3Tl after structural relaxation. Source: the Alexandria database, functional PBE.

Properties
- Formation energy from the elements: 0.262 eV per atom

a = 5.480 Å, b = 5.480 Å, c = 5.480 Å
α = 90.00°, β = 90.00°, γ = 90.00°
Positions (direct):
Na  0.500  0.500  0.500
Tl  0.000  0.000  0.000
Mg  0.000  0.500  0.000
Mg  0.000  0.000  0.500
Mg  0.500  0.000  0.000

***

Record 4
LiGaPt after structural relaxation. Source: the Alexandria database, functional PBE.

Properties
- Formation energy from the elements: -0.645 eV per atom

a = 4.187 Å, b = 4.188 Å, c = 5.442 Å
α = 89.95°, β = 89.95°, γ = 60.01°
Positions (direct):
Ga  0.667  0.667  0.750
Ga  0.333  0.333  0.250
Pt  0.000  0.000  0.000
Pt  0.000  0.000  0.500
Li  0.667  0.667  0.250
Li  0.333  0.333  0.750